# 1
AgRhS2 | GGA-PBE | relaxed

Output
Its uncorrected formation energy is -0.0025 eV/atom. As for the total energy: -4.617 eV per atom. Its total moment is 0.00 μB per cell. The space group is Cmcm.

Cell and atoms, written as POSCAR:
```
AgRhS2
1.0
1.4646 -10.8677 0.0000
1.4646 10.8677 0.0000
0.0000 0.0000 4.4735
S Rh Ag
4 2 2
direct
0.1733 0.8267 0.2500
0.8267 0.1733 0.7500
0.9585 0.0415 0.2500
0.0415 0.9585 0.7500
0.0651 0.9349 0.2500
0.9349 0.0651 0.7500
0.3092 0.6908 0.2500
0.6908 0.3092 0.7500
```

# 2
AgRhS2 | GGA-PBE | relaxed

Output
Its uncorrected formation energy is -0.0775 eV/atom. As for the total energy: -4.692 eV per atom. Its total moment is 0.00 μB per cell. The space group is I-42d.

Cell and atoms, written as POSCAR:
```
AgRhS2
1.0
-1.2971 1.2719 5.5671
-4.5213 -3.7161 -0.2044
-0.0173 -4.8228 4.1778
S Rh Ag
4 2 2
direct
0.5849 0.1250 0.2500
0.1651 0.6250 0.2500
0.3750 0.4151 0.7500
0.8750 0.8349 0.7500
0.5000 0.5000 0.0000
0.2500 0.7500 0.5000
0.0000 0.0000 0.0000
0.7500 0.2500 0.5000
```

# 3
AgRhS2 | GGA-PBE | relaxed

Output
Its uncorrected formation energy is -0.1073 eV/atom. As for the total energy: -4.722 eV per atom. Its total moment is 0.00 μB per cell. The space group is C2/c.

Cell and atoms, written as POSCAR:
```
AgRhS2
1.0
-7.0800 0.3112 0.3239
-2.5880 -3.3765 -2.6122
2.3140 -3.2554 2.9950
S Rh Ag
4 2 2
direct
0.3225 0.1302 0.1439
0.1775 0.6439 0.6302
0.6775 0.8698 0.8561
0.8225 0.3561 0.3698
0.7500 0.8892 0.3892
0.2500 0.1108 0.6108
0.7500 0.3192 0.8192
0.2500 0.6808 0.1808
```

# 4
AgRhS2 | GGA-PBE | relaxed

Output
Its uncorrected formation energy is -0.2651 eV/atom. As for the total energy: -4.879 eV per atom. Its total moment is 0.00 μB per cell. The space group is P3m1.

Cell and atoms, written as POSCAR:
```
AgRhS2
1.0
3.0539 -1.7631 0.0000
0.0000 3.5263 0.0000
0.0000 0.0000 6.8695
S Rh Ag
2 1 1
direct
0.3333 0.6667 0.8184
0.6667 0.3333 0.1852
0.0000 0.0000 0.9894
0.3333 0.6667 0.4619
```

# 5
AgRhS2 | GGA-PBE | relaxed

Output
Its uncorrected formation energy is 0.3090 eV/atom. As for the total energy: -4.305 eV per atom. Its total moment is 0.00 μB per cell. The space group is P4/mmm.

Cell and atoms, written as POSCAR:
```
AgRhS2
1.0
-3.8519 4.9806 -0.2896
0.0348 -0.3390 -6.2937
-4.3812 0.4136 -3.2026
S Rh Ag
4 2 2
direct
0.7502 0.2502 0.0000
0.2498 0.7498 0.0000
0.2502 0.2498 0.0000
0.7498 0.7502 0.0000
0.7500 0.7500 0.5000
0.2500 0.2500 0.5000
0.7500 0.2500 0.5000
0.2500 0.7500 0.5000
```

# 6
AgRhS2 | GGA-PBE | relaxed

Output
Its uncorrected formation energy is 0.0916 eV/atom. As for the total energy: -4.523 eV per atom. Its total moment is 0.00 μB per cell. The space group is P4/mmm.

Cell and atoms, written as POSCAR:
```
AgRhS2
1.0
-1.4033 2.2985 2.3925
-2.8478 -2.1672 0.4116
2.4305 -2.4719 3.8004
S Rh Ag
2 1 1
direct
0.5000 0.5000 0.5000
0.0000 0.0000 0.0000
0.0000 0.0000 0.5000
0.5000 0.5000 0.0000
```

# 7
AgRhS2 | GGA-PBE | relaxed

Output
Its uncorrected formation energy is -0.2421 eV/atom. As for the total energy: -4.857 eV per atom. Its total moment is 0.00 μB per cell. The space group is C2/m.

Cell and atoms, written as POSCAR:
```
AgRhS2
1.0
-4.7105 2.6030 -6.6260
1.0861 0.4140 -3.4625
-0.0086 -3.3014 1.5622
S Rh Ag
2 1 1
direct
0.6950 0.6474 0.3526
0.3050 0.3526 0.6474
0.5000 0.5000 0.5000
0.0000 0.0000 0.0000
```

# 8
AgRhS2 | GGA-PBE | relaxed

Output
Its uncorrected formation energy is -0.1116 eV/atom. As for the total energy: -4.726 eV per atom. Its total moment is 0.00 μB per cell. The space group is C2/c.

Cell and atoms, written as POSCAR:
```
AgRhS2
1.0
13.6628 0.0000 0.3227
1.9163 6.1101 -3.3744
-1.9163 6.1101 3.3744
S Rh Ag
16 8 8
direct
0.0318 0.8209 0.5802
0.4682 0.0802 0.3209
0.9682 0.1791 0.4198
0.5318 0.9198 0.6791
0.7450 0.1392 0.0887
0.7550 0.5887 0.6392
0.2550 0.8608 0.9113
0.2450 0.4113 0.3608
0.4753 0.5901 0.3216
0.0247 0.8216 0.0901
0.5247 0.4099 0.6784
0.9753 0.1784 0.9099
0.7500 0.1099 0.6099
0.2500 0.8901 0.3901
0.7500 0.6127 0.1127
0.2500 0.3873 0.8873
0.3648 0.4665 0.1487
0.1352 0.6487 0.9665
0.6352 0.5335 0.8513
0.8648 0.3513 0.0335
0.3455 0.9571 0.1554
0.1545 0.6554 0.4571
0.6545 0.0429 0.8446
0.8455 0.3446 0.5429
0.0984 0.2770 0.2064
0.4016 0.7064 0.7770
0.9016 0.7230 0.7936
0.5984 0.2936 0.2230
0.4039 0.1508 0.7932
0.0961 0.2932 0.6508
0.5961 0.8492 0.2068
0.9039 0.7068 0.3492
```